Density functional theory data (PBE-GGA) for an optimized crystal structure of Pm2AlAg.

DFT formation energy: -0.3237 eV/atom
Calculated total energy: -4.3475 eV/atom
Excess energy over the best structure of this formula in the dataset: 0 meV/atom
Space group: P4/mmm
M_tot: 0.0 μB/cell

Cell: 3.636 3.636 7.759 Å, 90.00 90.00 90.00°
Fractional coordinates of all 4 atoms:
Al  0.500  0.500  0.000
Pm  0.000  0.000  0.246
Pm  0.000  0.000  0.754
Ag  0.500  0.500  0.500

Density functional theory data (PBE-GGA) for an optimized crystal structure of Pm5Al4Ag.

DFT formation energy: -0.3486 eV/atom
Calculated total energy: -4.5061 eV/atom
Space group: P4/mmm
M_tot: 0.0 μB/cell

Cell: 3.667 3.667 18.934 Å, 90.00 90.00 90.00°
Fractional coordinates of all 10 atoms:
Pm  0.500  0.500  0.697
Al  0.000  0.000  0.599
Ag  0.000  0.000  0.000
Al  0.000  0.000  0.799
Al  0.000  0.000  0.201
Pm  0.500  0.500  0.104
Pm  0.500  0.500  0.303
Pm  0.500  0.500  0.896
Al  0.000  0.000  0.401
Pm  0.500  0.500  0.500

Density functional theory data (PBE-GGA) for an optimized crystal structure of Pm5AlAg2.

DFT formation energy: -0.1829 eV/atom
Calculated total energy: -4.3327 eV/atom
Space group: I4/mcm
M_tot: 0.0 μB/cell

Cell: 8.251 8.251 8.869 Å, 117.72 117.72 90.00°
Fractional coordinates of all 16 atoms:
Ag  0.370  0.870  0.000
Pm  0.309  0.809  0.303
Al  0.250  0.250  0.500
Al  0.750  0.750  0.500
Pm  0.500  0.500  0.000
Pm  0.809  0.994  0.303
Pm  0.506  0.691  0.697
Pm  0.191  0.006  0.697
Ag  0.630  0.130  0.000
Ag  0.130  0.370  0.000
Pm  0.994  0.494  0.303
Pm  0.494  0.309  0.303
Pm  0.000  0.000  0.000
Pm  0.691  0.191  0.697
Pm  0.006  0.506  0.697
Ag  0.870  0.630  0.000

Density functional theory data (PBE-GGA) for an optimized crystal structure of Pm4AlAg3.

DFT formation energy: -0.2974 eV/atom
Calculated total energy: -4.2097 eV/atom
Excess energy over the best structure of this formula in the dataset: 0 meV/atom
Space group: P4/mmm
M_tot: 0.0 μB/cell

Cell: 3.673 3.673 15.295 Å, 90.00 90.00 90.00°
Fractional coordinates of all 8 atoms:
Pm  0.000  0.000  0.374
Ag  0.500  0.500  0.751
Ag  0.500  0.500  0.500
Pm  0.000  0.000  0.877
Pm  0.000  0.000  0.626
Ag  0.500  0.500  0.249
Al  0.500  0.500  0.000
Pm  0.000  0.000  0.123

Density functional theory data (PBE-GGA) for an optimized crystal structure of PmAl4Ag2.

DFT formation energy: -0.2155 eV/atom
Calculated total energy: -3.8474 eV/atom
Excess energy over the best structure of this formula in the dataset: 0 meV/atom
Space group: P4_2/mnm
M_tot: 0.0 μB/cell

Cell: 4.126 8.145 8.145 Å, 90.00 90.00 90.00°
Fractional coordinates of all 14 atoms:
Al  0.500  0.585  0.160
Al  0.500  0.840  0.415
Ag  0.500  0.291  0.291
Ag  0.500  0.709  0.709
Al  0.000  0.085  0.340
Al  0.500  0.415  0.840
Pm  0.000  0.500  0.500
Ag  0.000  0.791  0.209
Ag  0.000  0.209  0.791
Al  0.500  0.160  0.585
Al  0.000  0.340  0.085
Al  0.000  0.660  0.915
Pm  0.500  0.000  0.000
Al  0.000  0.915  0.660

Density functional theory data (PBE-GGA) for an optimized crystal structure of Pm12Al3Ag.

DFT formation energy: -0.1287 eV/atom
Calculated total energy: -4.5716 eV/atom
Space group: P4/mmm
M_tot: 0.0 μB/cell

Cell: 4.871 4.871 19.492 Å, 90.00 90.00 90.00°
Fractional coordinates of all 16 atoms:
Al  0.000  0.000  0.250
Pm  0.500  0.500  0.500
Pm  0.000  0.500  0.625
Pm  0.500  0.500  0.751
Pm  0.000  0.500  0.873
Pm  0.500  0.500  0.000
Pm  0.500  0.500  0.249
Pm  0.500  0.000  0.625
Pm  0.500  0.000  0.127
Ag  0.000  0.000  0.000
Al  0.000  0.000  0.750
Pm  0.000  0.500  0.375
Pm  0.000  0.500  0.127
Pm  0.500  0.000  0.873
Pm  0.500  0.000  0.375
Al  0.000  0.000  0.500

Density functional theory data (PBE-GGA) for an optimized crystal structure of Pm3Al9Ag2.

DFT formation energy: -0.4054 eV/atom
Calculated total energy: -4.2367 eV/atom
Space group: Immm
M_tot: 0.0 μB/cell

Cell: 4.375 8.433 8.433 Å, 74.54 74.96 74.96°
Fractional coordinates of all 14 atoms:
Al  0.867  0.410  0.856
Pm  0.312  0.688  0.688
Al  0.133  0.590  0.144
Ag  0.500  0.715  0.285
Al  0.000  0.500  0.500
Al  0.336  0.292  0.035
Al  0.867  0.856  0.410
Pm  0.688  0.312  0.312
Al  0.664  0.965  0.708
Al  0.336  0.035  0.292
Ag  0.500  0.285  0.715
Al  0.133  0.144  0.590
Pm  0.000  0.000  0.000
Al  0.664  0.708  0.965

Density functional theory data (PBE-GGA) for an optimized crystal structure of Pm2Al2Ag.

DFT formation energy: -0.3778 eV/atom
Calculated total energy: -4.3453 eV/atom
Space group: C2/m
M_tot: 0.0 μB/cell

Cell: 4.644 5.918 10.002 Å, 85.53 76.58 66.90°
Fractional coordinates of all 10 atoms:
Al  0.921  0.717  0.440
Ag  0.626  0.101  0.648
Pm  0.316  0.694  0.675
Al  0.079  0.283  0.560
Al  0.629  0.854  0.888
Pm  0.080  0.734  0.106
Pm  0.920  0.266  0.894
Pm  0.684  0.306  0.325
Al  0.371  0.146  0.112
Ag  0.374  0.899  0.352

Density functional theory data (PBE-GGA) for an optimized crystal structure of Pm3Al2Ag.

DFT formation energy: -0.3366 eV/atom
Calculated total energy: -4.4346 eV/atom
Space group: P4/mmm
M_tot: 0.0 μB/cell

Cell: 3.607 3.607 11.772 Å, 90.00 90.00 90.00°
Fractional coordinates of all 6 atoms:
Al  0.500  0.500  0.831
Pm  0.000  0.000  0.330
Pm  0.000  0.000  0.000
Al  0.500  0.500  0.169
Pm  0.000  0.000  0.670
Ag  0.500  0.500  0.500

Density functional theory data (PBE-GGA) for an optimized crystal structure of PmAl3Ag3.

DFT formation energy: -0.0922 eV/atom
Calculated total energy: -3.5968 eV/atom
Space group: R-3
M_tot: 0.0 μB/cell

Cell: 8.168 8.168 7.053 Å, 54.62 54.62 60.00°
Fractional coordinates of all 14 atoms:
Ag  0.773  0.328  0.841
Al  0.447  0.793  0.627
Al  0.866  0.553  0.373
Al  0.793  0.134  0.627
Ag  0.672  0.943  0.159
Ag  0.328  0.057  0.841
Al  0.134  0.447  0.627
Pm  0.321  0.321  0.036
Pm  0.679  0.679  0.964
Al  0.207  0.866  0.373
Ag  0.943  0.227  0.159
Ag  0.057  0.773  0.841
Ag  0.227  0.672  0.159
Al  0.553  0.207  0.373

Density functional theory data (PBE-GGA) for an optimized crystal structure of Pm3Al2Ag2.

DFT formation energy: -0.2873 eV/atom
Calculated total energy: -4.2072 eV/atom
Space group: Cmmm
M_tot: 0.2 μB/cell

Cell: 4.306 3.572 11.495 Å, 90.00 79.20 90.00°
Site moments in Bohr magnetons follow the coordinates.
Fractional coordinates of all 7 atoms:
Ag  0.418  0.500  0.163  0.00
Pm  0.160  0.000  0.681  0.01
Pm  0.000  0.000  0.000  0.07
Pm  0.840  0.000  0.319  0.01
Al  0.281  0.500  0.438  0.00
Al  0.719  0.500  0.562  0.00
Ag  0.582  0.500  0.837  0.00

Density functional theory data (PBE-GGA) for an optimized crystal structure of Pm6Al3Ag.

DFT formation energy: -0.2496 eV/atom
Calculated total energy: -4.5078 eV/atom
Space group: P2_1/m
M_tot: 0.0 μB/cell

Cell: 5.229 9.355 11.636 Å, 108.37 90.00 90.00°
Fractional coordinates of all 20 atoms:
Pm  0.250  0.130  0.150
Pm  0.750  0.901  0.129
Pm  0.750  0.742  0.496
Pm  0.750  0.870  0.850
Al  0.250  0.770  0.974
Pm  0.750  0.168  0.700
Al  0.250  0.533  0.376
Pm  0.250  0.658  0.674
Pm  0.250  0.099  0.871
Pm  0.750  0.544  0.915
Pm  0.250  0.832  0.300
Al  0.750  0.614  0.215
Ag  0.750  0.044  0.411
Pm  0.250  0.456  0.085
Al  0.750  0.230  0.026
Al  0.250  0.386  0.785
Al  0.750  0.467  0.624
Ag  0.250  0.956  0.589
Pm  0.250  0.258  0.504
Pm  0.750  0.342  0.326

> What is the calculated total energy in the fifth record?

-3.8474 eV/atom

> Which of these has the highest DFT formation energy?

PmAl3Ag3

> Number 5 is which compound?

PmAl4Ag2

Please write out number 9 again, unchanged.
Density functional theory data (PBE-GGA) for an optimized crystal structure of Pm3Al2Ag.

DFT formation energy: -0.3366 eV/atom
Calculated total energy: -4.4346 eV/atom
Space group: P4/mmm
M_tot: 0.0 μB/cell

Cell: 3.607 3.607 11.772 Å, 90.00 90.00 90.00°
Fractional coordinates of all 6 atoms:
Al  0.500  0.500  0.831
Pm  0.000  0.000  0.330
Pm  0.000  0.000  0.000
Al  0.500  0.500  0.169
Pm  0.000  0.000  0.670
Ag  0.500  0.500  0.500